ZrCo4Pt2: optimized geometry, GGA-PBE.

Lattice parameters (Å, degrees): 7.065 7.065 7.065 143.46 143.46 52.63
Atoms (fractional coordinates):
Zr (0.000, 0.000, 0.000)
Co (0.000, 0.500, 0.500)
Co (0.205, 0.205, 0.000)
Co (0.500, 0.000, 0.500)
Co (0.795, 0.795, 0.000)
Pt (0.393, 0.393, 0.000)
Pt (0.607, 0.607, 0.000)

Summary:
DOS(E_F) in states/eV per atom: 1.374
Spin magnetization in μB per formula unit: 4.8
Formation enthalpy at 0 K in eV/atom: 0.947